# LaGa2AgAu2, optimized geometry, DFT PBE
# **Energy of formation from the pure elements**: -520 meV/atom
data_LaGa2AgAu2
_symmetry_space_group_name_H-M 'P -3 m 1'
_symmetry_Int_Tables_number 164
_symmetry_space_group_name_Hall '-P 3 2"'
_cell_length_a 4.5524
_cell_length_b 4.5524
_cell_length_c 6.9909
_cell_angle_alpha 90.00
_cell_angle_beta 90.00
_cell_angle_gamma 120.00
loop_
_atom_site_label
_atom_site_type_symbol
_atom_site_fract_x
_atom_site_fract_y
_atom_site_fract_z
La1 La 0.0000 0.0000 0.0000
Ga1 Ga 0.3333 0.6667 0.3000
Ag1 Ag 0.0000 0.0000 0.5000
Au1 Au 0.3333 0.6667 0.7146